A plane-wave DFT calculation with PBE was carried out for crystalline NaCa2Ag at its relaxed geometry.

Polymorph energy (0 for the lowest one) ... 159.1 meV/atom
Space group ... R-3m (166)

Unit cell a=3.9841 b=3.9841 c=11.4030 alpha=79.94 beta=79.94 gamma=60.00
Last column: nearest neighbours and their distance in Å.
Atoms (fractional coordinates):
Ca (0.8917, 0.8917, 0.3248)  3 Ag 3.02
Ca (0.1083, 0.1083, 0.6752)  3 Ag 3.02
Ag (0.5000, 0.5000, 0.5000)  6 Ca 3.02
Na (0.0000, 0.0000, 0.0000)  2 Ca 3.63, 6 Na 3.98

---

A plane-wave DFT calculation with PBE was carried out for crystalline NaCa2Ag at its relaxed geometry.

Polymorph energy (0 for the lowest one) ... 207.8 meV/atom
Space group ... I-42d (122)

Unit cell a=8.8063 b=8.8063 c=7.1849 alpha=52.21 beta=52.21 gamma=90.00
Last column: nearest neighbours and their distance in Å.
Atoms (fractional coordinates):
Na (0.5000, 0.5000, 0.0000)  8 Ca 3.55-3.90, 2 Ag 3.58
Ag (0.7500, 0.2500, 0.5000)  4 Ca 2.96
Ca (0.0754, 0.6250, 0.2500)  2 Ag 2.96
Ca (0.6746, 0.1250, 0.2500)  2 Ag 2.96
Ag (0.0000, 0.0000, 0.0000)  4 Ca 2.96
Ca (0.8750, 0.9246, 0.7500)  2 Ag 2.96
Ca (0.3750, 0.3254, 0.7500)  2 Ag 2.96
Na (0.2500, 0.7500, 0.5000)  8 Ca 3.55-3.90, 2 Ag 3.58

---

A plane-wave DFT calculation with PBE was carried out for crystalline Na2CaAg at its relaxed geometry.

Polymorph energy (0 for the lowest one) ... 78.8 meV/atom
Space group ... P4/mmm (123)

Unit cell a=4.1262 b=4.1262 c=7.0114 alpha=90.00 beta=90.00 gamma=90.00
Last column: nearest neighbours and their distance in Å.
Atoms (fractional coordinates):
Na (0.0000, 0.0000, 0.7952)  1 Na 2.87
Ca (0.5000, 0.5000, 0.5000)  2 Ag 3.51, 8 Na 3.58
Ag (0.5000, 0.5000, 0.0000)  8 Na 3.25, 2 Ca 3.51
Na (0.0000, 0.0000, 0.2048)  1 Na 2.87

---

A plane-wave DFT calculation with PBE was carried out for crystalline NaCa8Ag2 at its relaxed geometry.

Electronic total energy ... -2.1855 eV/atom
Space group ... C2/m (12)

Unit cell a=6.0566 b=8.5806 c=8.5806 alpha=111.92 beta=98.15 gamma=98.15
Last column: nearest neighbours and their distance in Å.
Atoms (fractional coordinates):
Ca (0.2991, 0.6095, 0.6095)  2 Ag 3.24, 1 Ca 3.60
Ca (0.9112, 0.9303, 0.6683)  2 Ag 3.16-3.19
Ca (0.0888, 0.0697, 0.3317)  2 Ag 3.16-3.19
Ca (0.7009, 0.3905, 0.3905)  2 Ag 3.24, 1 Ca 3.60
Ca (0.5000, 0.2496, 0.7504)  2 Ag 3.16
Ca (0.5000, 0.7504, 0.2496)  2 Ag 3.16
Na (0.5000, 0.0000, 0.0000)  4 Ca 3.55-3.64
Ag (0.0000, 0.6867, 0.3133)  8 Ca 3.16-3.24
Ca (0.9112, 0.6683, 0.9303)  2 Ag 3.16-3.19
Ag (0.0000, 0.3133, 0.6867)  8 Ca 3.16-3.24
Ca (0.0888, 0.3317, 0.0697)  2 Ag 3.16-3.19

---

A plane-wave DFT calculation with PBE was carried out for crystalline NaCa2Ag2 at its relaxed geometry.

Polymorph energy (0 for the lowest one) ... 0.0 meV/atom
Space group ... P4/mbm (127)

Unit cell a=8.3072 b=8.3072 c=4.0549 alpha=90.00 beta=90.00 gamma=90.00
Last column: nearest neighbours and their distance in Å.
Atoms (fractional coordinates):
Ca (0.6670, 0.8330, 0.5000)  6 Ag 3.18
Ca (0.3330, 0.1670, 0.5000)  6 Ag 3.18
Ca (0.1670, 0.6670, 0.5000)  6 Ag 3.18
Na (0.5000, 0.5000, 0.0000)  4 Ag 3.29
Ag (0.8754, 0.6246, 0.0000)  1 Ag 2.93, 6 Ca 3.18
Na (0.0000, 0.0000, 0.0000)  4 Ag 3.29
Ag (0.3754, 0.8754, 0.0000)  1 Ag 2.93, 6 Ca 3.18
Ag (0.6246, 0.1246, 0.0000)  1 Ag 2.93, 6 Ca 3.18
Ca (0.8330, 0.3330, 0.5000)  6 Ag 3.18
Ag (0.1246, 0.3754, 0.0000)  1 Ag 2.93, 6 Ca 3.18

---

A plane-wave DFT calculation with PBE was carried out for crystalline Na2Ca2Ag at its relaxed geometry.

Polymorph energy (0 for the lowest one) ... 32.1 meV/atom
Space group ... P4/mbm (127)

Unit cell a=7.9646 b=7.9646 c=5.9660 alpha=90.00 beta=90.00 gamma=90.00
Last column: nearest neighbours and their distance in Å.
Atoms (fractional coordinates):
Ag (0.0000, 0.0000, 0.0000)  4 Ca 2.98
Na (0.3429, 0.1571, 0.5000)  1 Na 3.54, 6 Ca 3.60-3.93
Ca (0.6645, 0.1645, 0.0000)  2 Ag 2.98
Ag (0.5000, 0.5000, 0.0000)  4 Ca 2.98
Na (0.6571, 0.8429, 0.5000)  1 Na 3.54, 6 Ca 3.60-3.93
Na (0.1571, 0.6571, 0.5000)  1 Na 3.54, 6 Ca 3.60-3.93
Na (0.8429, 0.3429, 0.5000)  1 Na 3.54, 6 Ca 3.60-3.93
Ca (0.1645, 0.3355, 0.0000)  2 Ag 2.98
Ca (0.8355, 0.6645, 0.0000)  2 Ag 2.98
Ca (0.3355, 0.8355, 0.0000)  2 Ag 2.98

---

A plane-wave DFT calculation with PBE was carried out for crystalline Na2Ca6Ag at its relaxed geometry.

Electronic total energy ... -1.9192 eV/atom
Space group ... Immm (71)

Unit cell a=9.5129 b=9.5129 c=9.5129 alpha=75.80 beta=70.85 gamma=115.25
Last column: nearest neighbours and their distance in Å.
Atoms (fractional coordinates):
Na (0.8533, 0.3533, 0.5000)  1 Na 2.99
Ca (0.5376, 0.7245, 0.1869)  1 Ag 3.08, 1 Na 3.42
Ca (0.1763, 0.7585, 0.0652)  1 Ag 3.43, 1 Na 3.50, 2 Ca 3.84
Ca (0.9115, 0.7245, 0.8131)  1 Ag 3.08, 1 Na 3.42
Na (0.3645, 0.0000, 0.6355)  1 Na 2.99
Ca (0.1763, 0.2415, 0.5822)  1 Ag 3.43, 1 Na 3.50, 2 Ca 3.84
Ca (0.6757, 0.4238, 0.2519)  3 Na 3.42-3.72, 1 Ag 3.45, 3 Ca 3.58-3.63
Ca (0.0885, 0.2755, 0.1869)  1 Ag 3.08, 1 Na 3.42
Ca (0.4624, 0.2755, 0.8131)  1 Ag 3.08, 1 Na 3.42
Ca (0.6757, 0.9276, 0.7481)  3 Na 3.42-3.72, 1 Ag 3.45, 3 Ca 3.58-3.63
Ca (0.8237, 0.2415, 0.9348)  1 Ag 3.43, 1 Na 3.50, 2 Ca 3.84
Ca (0.3243, 0.0724, 0.2519)  3 Na 3.42-3.72, 1 Ag 3.45, 3 Ca 3.58-3.63
Ag (0.5000, 0.5000, 0.0000)  8 Ca 3.08-3.45
Ag (0.0000, 0.0000, 0.0000)  8 Ca 3.43-3.48
Na (0.1467, 0.6467, 0.5000)  1 Na 2.99
Ca (0.3243, 0.5762, 0.7481)  3 Na 3.42-3.72, 1 Ag 3.45, 3 Ca 3.58-3.63
Ca (0.8237, 0.7585, 0.4178)  1 Ag 3.43, 1 Na 3.50, 2 Ca 3.84
Na (0.6355, 0.0000, 0.3645)  1 Na 2.99

---

A plane-wave DFT calculation with PBE was carried out for crystalline NaCa4Ag5 at its relaxed geometry.

Electronic total energy ... -2.6113 eV/atom
Space group ... P4/mmm (123)

Unit cell a=3.7178 b=3.7178 c=18.1960 alpha=90.00 beta=90.00 gamma=90.00
Last column: nearest neighbours and their distance in Å.
Atoms (fractional coordinates):
Ca (0.0000, 0.0000, 0.6017)  8 Ag 3.21-3.22
Ag (0.5000, 0.5000, 0.5000)  8 Ca 3.21
Ca (0.0000, 0.0000, 0.1953)  8 Ag 3.19-3.21, 1 Na 3.55
Ag (0.5000, 0.5000, 0.0956)  4 Na 3.15, 4 Ca 3.19, 1 Ag 3.48
Na (0.0000, 0.0000, 0.0000)  8 Ag 3.15
Ag (0.5000, 0.5000, 0.2962)  8 Ca 3.21-3.22
Ca (0.0000, 0.0000, 0.3983)  8 Ag 3.21-3.22
Ag (0.5000, 0.5000, 0.9044)  4 Na 3.15, 4 Ca 3.19, 1 Ag 3.48
Ag (0.5000, 0.5000, 0.7038)  8 Ca 3.21-3.22
Ca (0.0000, 0.0000, 0.8047)  8 Ag 3.19-3.21, 1 Na 3.55

---

A plane-wave DFT calculation with PBE was carried out for crystalline Na3CaAg8 at its relaxed geometry.

Electronic total energy ... -2.5327 eV/atom
Space group ... R3m (160)

Unit cell a=5.6468 b=5.6468 c=9.9936 alpha=73.59 beta=73.59 gamma=60.00
Last column: nearest neighbours and their distance in Å.
Atoms (fractional coordinates):
Ag (0.4391, 0.9375, 0.6859)  6 Ag 2.81-2.88
Na (0.0034, 0.0034, 0.9897)  12 Ag 3.30-3.39, 3 Na 3.43, 1 Ca 3.62
Ag (0.9375, 0.9375, 0.6859)  6 Ag 2.81-2.88
Ag (0.9361, 0.4379, 0.1881)  6 Ag 2.81-2.87
Ag (0.1875, 0.1875, 0.4376)  6 Ag 2.86-2.87
Na (0.3742, 0.3742, 0.8775)  12 Ag 3.31-3.36, 4 Na 3.43-3.44
Ag (0.9375, 0.4391, 0.6859)  6 Ag 2.81-2.88
Ca (0.8759, 0.8759, 0.3724)  12 Ag 3.32-3.38, 4 Na 3.52-3.62
Ag (0.6877, 0.6877, 0.9370)  6 Ag 2.87-2.88
Ag (0.4379, 0.4379, 0.1881)  6 Ag 2.81-2.87
Ag (0.4379, 0.9361, 0.1881)  6 Ag 2.81-2.87
Na (0.4954, 0.4954, 0.5139)  12 Ag 3.26-3.48, 1 Na 3.44, 3 Ca 3.52

---

A plane-wave DFT calculation with PBE was carried out for crystalline Na2Ca5Ag2 at its relaxed geometry.

Electronic total energy ... -2.1588 eV/atom
Space group ... Cmce (64)

Unit cell a=7.9821 b=8.0003 c=10.6934 alpha=90.00 beta=68.09 gamma=90.00
Last column: nearest neighbours and their distance in Å.
Atoms (fractional coordinates):
Ca (0.0000, 0.0000, 0.0000)  4 Ag 3.15-3.16
Na (0.2299, 0.0000, 0.5403)  6 Ca 3.74-3.80, 4 Na 4.07-4.08
Ca (0.7169, 0.3261, 0.2196)  3 Ag 3.14-3.26
Ca (0.4364, 0.1739, 0.7804)  3 Ag 3.14-3.26
Ca (0.2169, 0.1739, 0.2196)  3 Ag 3.14-3.26
Na (0.7299, 0.5000, 0.5403)  6 Ca 3.74-3.80, 4 Na 4.07-4.08
Ag (0.8739, 0.6260, 0.0000)  1 Ag 2.85, 4 Ca 3.14-3.16
Ca (0.2831, 0.6739, 0.7804)  3 Ag 3.14-3.26
Ca (0.5000, 0.5000, 0.0000)  4 Ag 3.15-3.16
Ag (0.6261, 0.1260, 0.0000)  1 Ag 2.85, 4 Ca 3.14-3.16
Na (0.2701, 0.5000, 0.4597)  6 Ca 3.74-3.80, 4 Na 4.07-4.08
Ca (0.9364, 0.3261, 0.7804)  3 Ag 3.14-3.26
Ca (0.7831, 0.8261, 0.7804)  3 Ag 3.14-3.26
Ca (0.0636, 0.6739, 0.2196)  3 Ag 3.14-3.26
Ca (0.5636, 0.8261, 0.2196)  3 Ag 3.14-3.26
Ag (0.3739, 0.8740, 0.0000)  1 Ag 2.85, 4 Ca 3.14-3.16
Na (0.7701, 0.0000, 0.4597)  6 Ca 3.74-3.80, 4 Na 4.07-4.08
Ag (0.1261, 0.3740, 0.0000)  1 Ag 2.85, 4 Ca 3.14-3.16

---

A plane-wave DFT calculation with PBE was carried out for crystalline Na2CaAg at its relaxed geometry.

Polymorph energy (0 for the lowest one) ... 153.8 meV/atom
Space group ... R3m (160)

Unit cell a=3.7354 b=3.7354 c=11.0120 alpha=80.24 beta=80.24 gamma=60.00
Last column: nearest neighbours and their distance in Å.
Atoms (fractional coordinates):
Ca (0.4997, 0.4997, 0.5009)  6 Ca 3.74, 6 Na 3.87-3.89
Na (0.0673, 0.0673, 0.7981)  3 Ag 3.06
Na (0.2662, 0.2662, 0.2014)  3 Ag 3.07
Ag (0.6668, 0.6668, 0.9996)  6 Na 3.06-3.07

---

A plane-wave DFT calculation with PBE was carried out for crystalline NaCa2Ag6 at its relaxed geometry.

Electronic total energy ... -2.6446 eV/atom
Space group ... P6/mmm (191)

Unit cell a=3.3943 b=8.3789 c=8.3789 alpha=60.02 beta=89.97 gamma=89.97
Last column: nearest neighbours and their distance in Å.
Atoms (fractional coordinates):
Ag (0.5010, 0.3331, 0.0000)  3 Ag 2.79-2.80
Ca (0.0000, 0.6667, 0.6667)  12 Ag 3.27, 2 Ca 3.39
Ag (0.4990, 0.6669, 0.0000)  3 Ag 2.79-2.80
Ag (0.5010, 0.0000, 0.3331)  3 Ag 2.79-2.80
Ag (0.4990, 0.0000, 0.6669)  3 Ag 2.79-2.80
Ag (0.5000, 0.3332, 0.6668)  3 Ag 2.79-2.80
Ca (0.0000, 0.3333, 0.3333)  12 Ag 3.27, 2 Ca 3.39
Na (0.0000, 0.0000, 0.0000)  12 Ag 3.26-3.27, 2 Na 3.39
Ag (0.5000, 0.6668, 0.3332)  3 Ag 2.79-2.80